Compound: Nd2Dy3Tm6Pb
Source: the Alexandria database
Functional: GGA-PBE
Structure: optimized geometry

## Properties
**Calculated formation energy**: -0.78 eV/f.u.
**DFT total energy**: -4.55 eV/atom

```
Nd2Dy3Tm6Pb
1.0
3.031 -5.252 0.000
3.031 5.252 0.000
-2.030 0.000 11.488
Nd Dy Tm Pb
2 3 6 1
Direct
0.166 0.834 0.000
0.834 0.166 0.000
0.000 0.000 0.500
0.333 0.667 0.500
0.667 0.333 0.500
0.090 0.417 0.749
0.256 0.256 0.252
0.417 0.090 0.749
0.583 0.910 0.251
0.744 0.744 0.748
0.910 0.583 0.251
0.500 0.500 0.000
```